(1)
! PBE TePdPbO, relaxed; values from VASP
&SYSTEM
  ibrav = 0, nat = 8, ntyp = 4
/
ATOMIC_SPECIES
Pb 207.20 Pb.upf
Te 127.60 Te.upf
O 16.00 O.upf
Pd 106.42 Pd.upf
CELL_PARAMETERS angstrom
-4.764 5.270 -0.452
-4.991 3.151 -3.979
-4.213 -3.604 2.437
ATOMIC_POSITIONS crystal
Pb 0.304 0.304 0.465
Pb 0.696 0.696 0.966
Te 0.403 0.403 0.964
Te 0.597 0.597 0.465
O 0.107 0.107 0.964
O 0.893 0.893 0.463
Pd 0.000 0.000 0.714
Pd 0.000 0.000 0.214
! Offset from the most stable computed form = 16.5 kJ/mol of atoms

(2)
! PBE GePbAu, relaxed; values from VASP
&SYSTEM
  ibrav = 0, nat = 3, ntyp = 3
/
ATOMIC_SPECIES
Pb 207.20 Pb.upf
Ge 72.64 Ge.upf
Au 196.97 Au.upf
CELL_PARAMETERS angstrom
1.780 -2.677 3.586
-2.561 -3.681 1.757
1.402 -4.529 -0.844
ATOMIC_POSITIONS crystal
Pb 0.000 0.000 0.000
Ge 0.750 0.750 0.750
Au 0.250 0.250 0.250
! E = -3.512 eV per atom

(3)
! PBE NdSm2NiPt8, relaxed; values from VASP
&SYSTEM
  ibrav = 0, nat = 12, ntyp = 4
/
ATOMIC_SPECIES
Pt 195.08 Pt.upf
Sm 150.36 Sm.upf
Nd 144.24 Nd.upf
Ni 58.69 Ni.upf
CELL_PARAMETERS angstrom
-0.834 -9.177 0.925
2.124 -7.409 5.135
-3.293 -6.908 5.215
ATOMIC_POSITIONS crystal
Pt 0.914 0.412 0.412
Pt 0.333 0.333 0.333
Pt 0.086 0.588 0.588
Pt 0.412 0.412 0.914
Pt 0.588 0.588 0.086
Pt 0.588 0.086 0.588
Pt 0.412 0.914 0.412
Pt 0.667 0.667 0.667
Sm 0.860 0.860 0.860
Sm 0.140 0.140 0.140
Nd 0.000 0.000 0.000
Ni 0.500 0.500 0.500
! Magnetization = 0.014 Bohr magnetons per cell
! Energy relative to the elements = -877 meV/atom